The following is a PBE calculation of La4CBr2N after structural relaxation, from Alexandria via LeMat-Bulk.

Cell and atoms, written as CIF:
```
data_La4CBr2N
_symmetry_space_group_name_H-M 'P 1 2/m 1'
_symmetry_Int_Tables_number 10
_symmetry_space_group_name_Hall '-P 2y'
_cell_length_a 6.637
_cell_length_b 3.838
_cell_length_c 7.929
_cell_angle_alpha 90.00
_cell_angle_beta 106.24
_cell_angle_gamma 90.00
loop_
_atom_site_label
_atom_site_type_symbol
_atom_site_fract_x
_atom_site_fract_y
_atom_site_fract_z
La1 La 0.224 0.000 0.181
La2 La 0.268 0.500 0.817
C1 C 0.500 0.000 0.000
Br1 Br 0.000 0.000 0.500
Br2 Br 0.500 0.500 0.500
N1 N 0.000 0.500 0.000
```

Summary:
Formation energy from raw total energies: -1.20 eV/atom
V: 24.2 Å³/atom
Fermi-level density of states: 0.3307 states/eV per atom
Total DFT energy (no corrections): -6.28 eV/atom

The following is a PBE calculation of Na2MnBi2 after structural relaxation, from Alexandria via LeMat-Bulk.

Cell and atoms, written as CIF:
```
data_Na2MnBi2
_symmetry_space_group_name_H-M 'P 4/m b m'
_symmetry_Int_Tables_number 127
_symmetry_space_group_name_Hall '-P 4 2ab'
_cell_length_a 7.095
_cell_length_b 7.095
_cell_length_c 5.273
_cell_angle_alpha 90.00
_cell_angle_beta 90.00
_cell_angle_gamma 90.00
loop_
_atom_site_label
_atom_site_type_symbol
_atom_site_fract_x
_atom_site_fract_y
_atom_site_fract_z
Na1 Na 0.167 0.333 0.000
Mn1 Mn 0.000 0.000 0.500
Bi1 Bi 0.157 0.657 0.500
```

Summary:
V: 26.5 Å³/atom
Offset from the most stable computed form: 0 meV/atom
Fermi-level density of states: 1.3904 states/eV per atom
E_form: 0.230 eV/atom
Total DFT energy (no corrections): -3.68 eV/atom

The following is a PBE calculation of Ti3Be4Ni2 after structural relaxation, from Alexandria via LeMat-Bulk.

Cell and atoms, written as CIF:
```
data_Ti3Be4Ni2
_symmetry_space_group_name_H-M 'C 1 2/m 1'
_symmetry_Int_Tables_number 12
_symmetry_space_group_name_Hall '-C 2y'
_cell_length_a 8.786
_cell_length_b 3.811
_cell_length_c 7.111
_cell_angle_alpha 90.00
_cell_angle_beta 117.68
_cell_angle_gamma 90.00
loop_
_atom_site_label
_atom_site_type_symbol
_atom_site_fract_x
_atom_site_fract_y
_atom_site_fract_z
Ti1 Ti 0.000 0.000 0.000
Ti2 Ti 0.146 0.500 0.686
Be1 Be 0.059 0.000 0.390
Be2 Be 0.236 0.500 0.070
Ni1 Ni 0.167 0.500 0.339
```

Summary:
V: 11.7 Å³/atom
Fermi-level density of states: 0.7666 states/eV per atom
E_form: -0.234 eV/atom
Total DFT energy (no corrections): -5.81 eV/atom